10
Lattice="4.2662 0.0000 0.0000 0.0000 4.2662 0.0000 0.0000 0.0000 10.0972" Properties=species:S:1:pos:R:3 comment="LiPr2Ga3Cu4 PBE relaxed" magnetic_moment_mub_per_cell=0.000 energy_ev_per_atom=-4.049 dos_at_fermi_per_ev_fu=6.0 formation_energy_ev_per_atom=-0.355 volume_a3_per_atom=18.4 pbc="T T T"
Li 0.0000 0.0000 0.0000
Pr 0.0000 2.1331 7.4491
Pr 2.1331 0.0000 2.6482
Ga 0.0000 2.1331 3.7492
Ga 2.1331 0.0000 6.3481
Ga 2.1331 2.1331 0.0000
Cu 0.0000 0.0000 5.0486
Cu 0.0000 2.1331 1.3108
Cu 2.1331 0.0000 8.7864
Cu 2.1331 2.1331 5.0486